[1]
Density functional theory data (PBE-GGA) for crystalline AlH3O3 at its relaxed geometry.

The structure in extended XYZ format:
```
28
Lattice="-5.020 -0.899 -0.305 -0.045 -1.426 4.954 -1.352 6.882 1.969" Properties=species:S:1:pos:R:3 pbc="T T T"
Al -2.617 5.944 4.367
Al -3.754 -0.670 -0.224
Al -1.965 2.497 3.387
Al -4.499 1.342 5.707
H -3.736 3.517 5.265
H -0.554 0.711 3.960
H -5.183 0.544 1.187
H -3.363 4.340 2.823
H -4.252 1.884 3.410
H -1.817 2.026 5.707
H -5.296 5.377 3.958
H -1.471 -0.174 0.160
H -1.515 4.245 5.661
H -3.209 -0.095 3.538
H -2.525 1.438 1.303
H -5.586 3.524 2.734
O -4.244 3.216 6.056
O -1.038 0.835 3.109
O -4.684 0.890 0.409
O -2.870 4.172 3.661
O -1.217 2.595 5.141
O -3.563 1.546 4.054
O -2.172 -0.227 0.874
O -5.883 5.199 3.166
O -1.665 5.212 5.874
O -2.989 -1.049 3.330
O -2.747 2.358 1.631
O -5.435 2.591 2.402
```

## Properties
As for the density of states at the Fermi level: 0.0 states/eV/f.u. The space-group type is P2_12_12_1 (19). The total energy comes out at -163.83 eV per cell.

[2]
Density functional theory data (PBE-GGA) for crystalline KMg2Si at its relaxed geometry.

The structure in extended XYZ format:
```
4
Lattice="3.972 0.000 0.000 0.000 3.022 0.257 0.000 2.296 9.194" Properties=species:S:1:pos:R:3 pbc="T T T"
K 1.986 3.989 7.088
Mg 0.000 2.980 0.985
Mg 0.000 2.701 3.997
Si 1.986 1.330 2.363
```

## Properties
As for the uncorrected formation energy: 0.194 eV/atom. As for the density of states at the Fermi level: 1.2 states/eV/f.u. The space-group type is P2/m (10). The total energy comes out at -8.93 eV per cell.

[3]
Density functional theory data (PBE-GGA) for crystalline ZnGa3F at its relaxed geometry.

The structure in extended XYZ format:
```
5
Lattice="4.853 0.000 0.000 0.000 4.853 0.000 0.000 0.000 4.853" Properties=species:S:1:pos:R:3 pbc="T T T"
Zn 0.000 0.000 0.000
Ga 0.000 2.426 0.000
Ga 0.000 0.000 2.426
Ga 2.426 0.000 0.000
F 2.426 2.426 2.426
```

## Properties
As for the uncorrected formation energy: -0.105 eV/atom. As for the density of states at the Fermi level: 2.2 states/eV/f.u. The space-group type is Pm-3m (221). The total energy comes out at -12.75 eV per cell.

[4]
Density functional theory data (PBE-GGA) for crystalline La4SnGeC at its relaxed geometry.

The structure in extended XYZ format:
```
14
Lattice="7.072 0.000 0.000 0.000 7.104 0.000 -3.536 0.000 8.462" Properties=species:S:1:pos:R:3 pbc="T T T"
La 3.536 1.776 7.305
La 0.000 5.328 7.033
La 0.000 5.328 1.157
La 3.536 1.776 1.429
La 1.768 3.552 4.231
La -1.768 0.000 4.231
La 1.768 0.000 4.231
La -1.768 3.552 4.231
Sn 3.536 5.328 1.886
Sn 0.000 1.776 6.575
Ge 0.000 1.776 1.924
Ge 3.536 5.328 6.538
C 0.000 5.328 4.606
C 3.536 1.776 3.856
```

## Properties
As for the density of states at the Fermi level: 1.6 states/eV/f.u. The space-group type is Cmcm (63). The total energy comes out at -82.31 eV per cell. The calculation puts the formation energy at -0.5142 eV/atom.

[5]
Density functional theory data (PBE-GGA) for crystalline Hf3BiPb at its relaxed geometry.

The structure in extended XYZ format:
```
5
Lattice="-2.218 3.916 2.936 2.516 -1.853 4.371 4.198 3.179 -1.069" Properties=species:S:1:pos:R:3 pbc="T T T"
Pb 2.248 2.621 3.119
Hf 1.258 -0.926 2.186
Hf 2.099 1.590 -0.535
Hf -1.109 1.958 1.468
Bi 0.000 0.000 0.000
```

## Properties
As for the density of states at the Fermi level: 5.9 states/eV/f.u. The space-group type is Pm-3m (221). The total energy comes out at -31.43 eV per cell. The calculation puts the formation energy at 1.2040 eV/atom.

[6]
Density functional theory data (PBE-GGA) for crystalline SrSbAs at its relaxed geometry.

The structure in extended XYZ format:
```
12
Lattice="4.165 0.000 0.000 0.000 11.379 0.000 0.000 0.000 7.410" Properties=species:S:1:pos:R:3 pbc="T T T"
Sb 0.000 11.007 0.925
Sb 0.000 0.372 4.630
Sb 2.083 5.318 0.925
Sb 2.083 6.061 4.630
As 0.000 6.894 2.951
As 0.000 4.484 6.656
As 2.083 1.205 2.951
As 2.083 10.174 6.656
Sr 0.000 3.697 3.245
Sr 0.000 7.682 6.950
Sr 2.083 9.386 3.245
Sr 2.083 1.993 6.950
```

## Properties
As for the uncorrected formation energy: -0.696 eV/atom. As for the density of states at the Fermi level: 0.5 states/eV/f.u. The space-group type is Cmc2_1 (36). The total energy comes out at -50.17 eV per cell.

[7]
Density functional theory data (PBE-GGA) for crystalline KNa3Os at its relaxed geometry.

The structure in extended XYZ format:
```
5
Lattice="-3.508 -0.879 -4.123 4.210 -0.438 -3.488 0.230 -5.396 0.955" Properties=species:S:1:pos:R:3 pbc="T T T"
Na 2.105 -0.219 -1.744
Na 0.115 -2.698 0.478
Na -1.754 -0.440 -2.062
K 0.000 0.000 0.000
Os 0.466 -3.357 -3.328
```

## Properties
As for the density of states at the Fermi level: 8.5 states/eV/f.u. The space-group type is Pm-3m (221). The total energy comes out at -7.73 eV per cell. The calculation puts the formation energy at 1.7107 eV/atom.

[8]
Density functional theory data (PBE-GGA) for crystalline CsRb2Mg at its relaxed geometry.

The structure in extended XYZ format:
```
4
Lattice="-0.813 5.219 -5.058 -5.941 0.065 -4.264 -5.078 5.188 0.882" Properties=species:S:1:pos:R:3 pbc="T T T"
Cs -5.918 5.239 -4.216
Rb -5.076 5.186 0.880
Rb -2.956 2.616 -2.112
Mg -8.874 7.854 -6.329
```

## Properties
As for the density of states at the Fermi level: 3.6 states/eV/f.u. The space-group type is R3m (160). The total energy comes out at -3.68 eV per cell. The calculation puts the formation energy at 0.1760 eV/atom.